1.
Material: SbPd8Pb2
Method: DFT, PBE-GGA
State: optimized geometry

The structure in POSCAR format:
```
SbPd8Pb2
1.0
7.496 -2.168 0.000
7.496 2.168 0.000
-1.636 0.000 5.982
Sb Pd Pb
1 8 2
direct
0.000 0.000 0.000
0.086 0.086 0.444
0.166 0.166 0.920
0.342 0.342 0.791
0.471 0.471 0.248
0.529 0.529 0.752
0.658 0.658 0.209
0.834 0.834 0.080
0.914 0.914 0.556
0.296 0.296 0.333
0.704 0.704 0.667
```

Computed properties:
- volume (Å³ per atom) = 17.7
- excess energy over the best structure of this formula in the dataset (eV/atom) = 0.014
- raw total energy (eV/atom) = -5.10
- total magnetic moment (μB per formula unit) = 0.00
- energy relative to the elements, uncorrected (eV/atom) = -0.275

2.
Material: InFeCu2
Method: DFT, PBE-GGA
State: optimized geometry

The structure in POSCAR format:
```
InFeCu2
1.0
4.820 -1.487 0.000
4.820 1.487 0.000
-1.855 0.000 4.042
In Fe Cu
1 1 2
direct
0.000 0.000 0.000
0.235 0.235 0.717
0.492 0.492 0.494
0.759 0.759 0.243
```

Computed properties:
- ΔH_f (0 K) (eV/atom) = 0.22
- volume (Å³ per atom) = 14.5
- raw total energy (eV/atom) = -4.62
- total magnetic moment (μB per formula unit) = 2.69

3.
Material: Pu3TaN6
Method: DFT, PBE-GGA
State: optimized geometry

The structure in POSCAR format:
```
Pu3TaN6
1.0
4.936 -2.841 0.000
4.936 2.841 0.000
-3.197 0.000 4.754
Pu Ta N
3 1 6
direct
0.000 0.000 0.000
0.249 0.249 0.723
0.751 0.751 0.277
0.500 0.500 0.500
0.173 0.674 0.668
0.258 0.258 0.128
0.326 0.827 0.332
0.674 0.173 0.668
0.742 0.742 0.872
0.827 0.326 0.332
```

Computed properties:
- volume (Å³ per atom) = 13.3
- raw total energy (eV/atom) = -11.48
- total magnetic moment (μB per formula unit) = 11.00
- energy relative to the elements, uncorrected (eV/atom) = -1.005